(1)
# PBE CeBiSb, relaxed
data_CeBiSb
_space_group_name_H-M_alt 'I 4 m m'
_space_group_IT_number 107
_space_group_name_Hall 'I 4 -2'
_cell_length_a 4.1727
_cell_length_b 4.1727
_cell_length_c 10.3486
_cell_angle_alpha 90.00
_cell_angle_beta 90.00
_cell_angle_gamma 90.00
loop_
_atom_site_label
_atom_site_type_symbol
_atom_site_fract_x
_atom_site_fract_y
_atom_site_fract_z
Ce1 Ce 0.0000 0.0000 0.0000
Bi1 Bi 0.0000 0.0000 0.6620
Sb1 Sb 0.0000 0.0000 0.3644
# - energy above the most stable polymorph in this dataset (eV per atom) = 0.134

(2)
# PBE Ce2BiSb, relaxed
data_Ce2BiSb
_space_group_name_H-M_alt 'A m m 2'
_space_group_IT_number 38
_space_group_name_Hall 'A 2 -2'
_cell_length_a 4.8985
_cell_length_b 4.2628
_cell_length_c 12.0789
_cell_angle_alpha 90.00
_cell_angle_beta 90.00
_cell_angle_gamma 90.00
loop_
_atom_site_label
_atom_site_type_symbol
_atom_site_fract_x
_atom_site_fract_y
_atom_site_fract_z
Ce1 Ce 0.0000 0.0000 0.0000
Ce2 Ce 0.5000 0.0000 0.2373
Bi1 Bi 0.5000 0.0000 0.5040
Sb1 Sb 0.0000 0.0000 0.7345
# - energy above the most stable polymorph in this dataset (eV per atom) = 0.098

(3)
The following is a PBE calculation of a geometry-optimized Ce8Bi2Sb3 structure, from the Alexandria database.

Cell and atoms, written as CIF:
```
data_Ce8Bi2Sb3
_space_group_name_H-M_alt 'C 1 2/m 1'
_space_group_IT_number 12
_space_group_name_Hall '-C 2y'
_cell_length_a 15.4086
_cell_length_b 7.9205
_cell_length_c 7.0212
_cell_angle_alpha 90.00
_cell_angle_beta 97.09
_cell_angle_gamma 90.00
loop_
_atom_site_label
_atom_site_type_symbol
_atom_site_fract_x
_atom_site_fract_y
_atom_site_fract_z
Ce1 Ce 0.1047 0.0000 0.3890
Ce2 Ce 0.1055 0.1750 0.8839
Ce3 Ce 0.1585 0.5000 0.3324
Bi1 Bi 0.2303 0.5000 0.8364
Sb1 Sb 0.0000 0.3029 0.5000
Sb2 Sb 0.0000 0.5000 0.0000
```

(4)
The following is a PBE calculation of a geometry-optimized Ce5Bi4Sb structure, from the Alexandria database.

Cell and atoms, written as CIF:
```
data_Ce5Bi4Sb
_space_group_name_H-M_alt 'I 4/m'
_space_group_IT_number 87
_space_group_name_Hall '-I 4'
_cell_length_a 10.2469
_cell_length_b 10.2469
_cell_length_c 6.4818
_cell_angle_alpha 90.00
_cell_angle_beta 90.00
_cell_angle_gamma 90.00
loop_
_atom_site_label
_atom_site_type_symbol
_atom_site_fract_x
_atom_site_fract_y
_atom_site_fract_z
Ce1 Ce 0.0000 0.0000 0.0000
Ce2 Ce 0.0993 0.7040 0.5000
Bi1 Bi 0.0985 0.6992 0.0000
Sb1 Sb 0.0000 0.0000 0.5000
```

(5)
The following is a PBE calculation of a geometry-optimized Ce6BiSb5 structure, from the Alexandria database.

Cell and atoms, written as CIF:
```
data_Ce6BiSb5
_space_group_name_H-M_alt 'C 1 2/m 1'
_space_group_IT_number 12
_space_group_name_Hall '-C 2y'
_cell_length_a 7.8246
_cell_length_b 13.5534
_cell_length_c 7.8265
_cell_angle_alpha 90.00
_cell_angle_beta 109.47
_cell_angle_gamma 90.00
loop_
_atom_site_label
_atom_site_type_symbol
_atom_site_fract_x
_atom_site_fract_y
_atom_site_fract_z
Ce1 Ce 0.2463 0.0000 0.2511
Ce2 Ce 0.2470 0.1686 0.7473
Bi1 Bi 0.0000 0.5000 0.0000
Sb1 Sb 0.0000 0.0000 0.5000
Sb2 Sb 0.0000 0.1671 0.0000
Sb3 Sb 0.0000 0.3351 0.5000
```

(6)
The following is a PBE calculation of a geometry-optimized Ce4Bi5Sb structure, from the Alexandria database.

Cell and atoms, written as CIF:
```
data_Ce4Bi5Sb
_space_group_name_H-M_alt 'C 1 2/m 1'
_space_group_IT_number 12
_space_group_name_Hall '-C 2y'
_cell_length_a 18.4779
_cell_length_b 4.6810
_cell_length_c 8.5501
_cell_angle_alpha 90.00
_cell_angle_beta 111.28
_cell_angle_gamma 90.00
loop_
_atom_site_label
_atom_site_type_symbol
_atom_site_fract_x
_atom_site_fract_y
_atom_site_fract_z
Ce1 Ce 0.0428 0.0000 0.2707
Ce2 Ce 0.1606 0.5000 0.9558
Bi1 Bi 0.0000 0.5000 0.5000
Bi2 Bi 0.1476 0.0000 0.6729
Bi3 Bi 0.2078 0.0000 0.2351
Sb1 Sb 0.0000 0.5000 0.0000
```

(7)
The following is a PBE calculation of a geometry-optimized Ce6BiSb3 structure, from the Alexandria database.

Cell and atoms, written as CIF:
```
data_Ce6BiSb3
_space_group_name_H-M_alt 'P 1 21/c 1'
_space_group_IT_number 14
_space_group_name_Hall '-P 2ybc'
_cell_length_a 7.6557
_cell_length_b 8.8195
_cell_length_c 12.4210
_cell_angle_alpha 90.00
_cell_angle_beta 127.79
_cell_angle_gamma 90.00
loop_
_atom_site_label
_atom_site_type_symbol
_atom_site_fract_x
_atom_site_fract_y
_atom_site_fract_z
Ce1 Ce 0.0235 0.1015 0.2467
Ce2 Ce 0.2198 0.6796 0.0685
Ce3 Ce 0.4088 0.1727 0.0670
Bi1 Bi 0.5000 0.0000 0.5000
Sb1 Sb 0.0000 0.0000 0.0000
Sb2 Sb 0.3009 0.1231 0.7496
```

(8)
The following is a PBE calculation of a geometry-optimized Ce2Bi2Sb structure, from the Alexandria database.

Cell and atoms, written as CIF:
```
data_Ce2Bi2Sb
_space_group_name_H-M_alt 'P 63/m m c'
_space_group_IT_number 194
_space_group_name_Hall '-P 6c 2c'
_cell_length_a 5.0510
_cell_length_b 5.0510
_cell_length_c 15.5809
_cell_angle_alpha 90.00
_cell_angle_beta 90.00
_cell_angle_gamma 120.00
loop_
_atom_site_label
_atom_site_type_symbol
_atom_site_fract_x
_atom_site_fract_y
_atom_site_fract_z
Ce1 Ce 0.0000 0.0000 0.1342
Bi1 Bi 0.3333 0.6667 0.0207
Sb1 Sb 0.3333 0.6667 0.7500
```

Respective energy values: -5.183; -5.786; -5.589; -5.770; -6.007; -5.260; -5.769; -5.135 eV/atom.
Respective total magnetic moment values: 0.260; 0.481; 0.575; 0.445; 0.425; 0.312; 1.023; 0.438 μB per atom.